Record 1
Th2CuO: optimized geometry, PBE.

## Properties
size of the total moment: 0.000 μB per atom
space-group type: R-3m, No. 166
energy relative to the elements, uncorrected: -0.671 eV per atom
theoretical density: 9.8 g/cm³
E_tot: -6.6449 eV/atom

Geometry as extended XYZ:
```
4
Lattice="-2.877 0.589 -1.813 -1.404 -2.532 -1.878 -6.335 -3.109 5.759" Properties=species:S:1:pos:R:3 pbc="T T T"
Th -4.744 -2.312 3.494
Th -5.872 -2.741 -1.425
O -5.308 -2.526 1.035
Cu 0.000 0.000 0.000
```

***

Record 2
Ti2CuO: optimized geometry, PBE.

## Properties
size of the total moment: 0.000 μB per atom
space-group type: R3m, No. 160
energy relative to the elements, uncorrected: -1.170 eV per atom
theoretical density: 5.8 g/cm³
E_tot: -7.3815 eV/atom

Geometry as extended XYZ:
```
4
Lattice="2.962 0.000 0.000 1.481 2.565 0.000 1.481 0.855 6.618" Properties=species:S:1:pos:R:3 pbc="T T T"
Ti 1.481 0.855 1.237
Ti 1.481 0.855 5.386
Cu 2.962 1.710 3.323
O 4.443 2.565 6.600
```

***

Record 3
Ti4Cu3O12: optimized geometry, PBE.

## Properties
size of the total moment: 0.000 μB per atom
space-group type: Im-3, No. 204
energy relative to the elements, uncorrected: -2.028 eV per atom
theoretical density: 4.7 g/cm³
E_tot: -7.4680 eV/atom

Geometry as extended XYZ:
```
19
Lattice="-5.421 -1.647 -2.970 -0.300 -1.793 6.133 0.772 6.341 -0.333" Properties=species:S:1:pos:R:3 pbc="T T T"
O -2.322 3.154 2.418
O -1.382 2.286 -0.013
O -4.084 2.077 0.442
O -4.258 0.396 -1.702
O -1.849 -1.119 4.064
O -0.864 0.824 2.389
O -0.208 4.425 1.250
O -0.690 2.505 4.532
O -2.627 -0.253 0.412
O -4.741 -1.524 1.581
O -3.567 0.616 2.844
O -3.100 4.020 -1.234
Ti 0.386 3.171 -0.166
Ti -2.474 1.451 1.415
Ti -0.150 -0.896 3.066
Ti -2.710 -0.823 -1.485
Cu -2.324 2.347 -1.651
Cu -2.860 -1.720 1.581
Cu 0.236 2.274 2.900
```

***

Record 4
TiCu3O4: optimized geometry, PBE.

## Properties
size of the total moment: 0.124 μB per atom
space-group type: P2_1/c, No. 14
energy relative to the elements, uncorrected: -1.366 eV per atom
theoretical density: 5.4 g/cm³
E_tot: -6.3682 eV/atom

Geometry as extended XYZ:
```
16
Lattice="11.557 0.000 0.000 0.000 3.089 -0.009 0.000 2.667 5.244" Properties=species:S:1:pos:R:3 pbc="T T T"
Ti 0.000 0.000 0.000
Ti 5.779 1.333 2.622
Cu 5.779 0.000 0.000
Cu 8.651 2.723 3.523
Cu 2.907 3.033 1.712
Cu 0.000 1.333 2.622
Cu 8.686 1.389 0.901
Cu 2.872 4.366 4.334
O 6.873 1.268 1.038
O 4.751 2.902 1.782
O 10.463 2.602 3.660
O 10.530 1.520 0.832
O 6.806 2.853 3.454
O 1.027 4.235 4.404
O 4.685 4.487 4.197
O 1.094 3.154 1.575
```

***

Record 5
TiCu3O4: optimized geometry, PBE.

## Properties
size of the total moment: 0.117 μB per atom
space-group type: P2/m, No. 10
energy relative to the elements, uncorrected: -1.374 eV per atom
theoretical density: 5.3 g/cm³
E_tot: -6.3758 eV/atom

Geometry as extended XYZ:
```
8
Lattice="2.983 0.000 0.000 0.000 5.536 0.141 0.000 1.804 5.768" Properties=species:S:1:pos:R:3 pbc="T T T"
O 0.000 1.513 3.991
O 1.492 4.615 3.960
O 0.000 5.827 1.918
O 1.492 2.726 1.949
Ti 1.492 0.902 2.884
Cu 1.492 2.768 0.071
Cu 0.000 0.000 0.000
Cu 0.000 3.670 2.954
```

***

Record 6
Ti3CuO: optimized geometry, PBE.

## Properties
size of the total moment: 0.615 μB per atom
space-group type: Pm-3m, No. 221
energy relative to the elements, uncorrected: 0.864 eV per atom
theoretical density: 3.9 g/cm³
E_tot: -5.6841 eV/atom

Geometry as extended XYZ:
```
5
Lattice="4.576 0.000 0.000 0.000 4.576 0.000 0.000 0.000 4.576" Properties=species:S:1:pos:R:3 pbc="T T T"
Ti 0.000 0.000 2.288
Ti 2.288 0.000 0.000
Ti 0.000 2.288 0.000
O 2.288 2.288 2.288
Cu 0.000 0.000 0.000
```

***

What is the energy relative to the elements, uncorrected in the fourth record? -1.366 eV per atom